# AlTl2Te4Pb (GGA-PBE, relaxed)
data_AlTl2Te4Pb
_chemical_formula_sum 'Al1 Tl2 Te4 Pb1'
_cell_length_a 7.3462
_cell_length_b 7.1004
_cell_length_c 7.1004
_cell_angle_alpha 74.48
_cell_angle_beta 58.85
_cell_angle_gamma 58.85
_symmetry_space_group_name_H-M 'P 1'
_symmetry_Int_Tables_number 1
_symmetry_space_group_name_Hall 'P 1'
loop_
_atom_site_label
_atom_site_type_symbol
_atom_site_fract_x
_atom_site_fract_y
_atom_site_fract_z
Al1 Al 0.5000 0.0000 0.0000
Tl1 Tl 0.0000 0.5000 0.5000
Tl2 Tl 0.5000 0.5000 0.5000
Te1 Te 0.1090 0.3604 0.0000
Te2 Te 0.8910 0.0000 0.6396
Te3 Te 0.5305 0.0000 0.3604
Te4 Te 0.4695 0.6396 0.0000
Pb1 Pb 0.0000 0.0000 0.0000
# Raw formation energy ... -320.8 meV/atom
# Space-group type ... I-42m, No. 121